1.
Below is a geometry-optimized Ac2Ge3Pd2 structure, with properties calculated at the PBE level.

POSCAR file:
```
Ac2Ge3Pd2
1.0
-1.675 -0.224 4.024
-4.291 -0.959 -4.206
2.643 -6.325 0.748
Ge Ac Pd
3 2 2
Cartesian
-0.607 -2.833 1.957
-2.716 -4.675 -1.390
-0.837 -0.112 2.012
-3.488 -2.487 0.777
0.164 -5.021 -0.210
-0.418 -1.420 -0.253
-2.905 -6.088 0.820
```

Calculated values
Crystal system = monoclinic
M_tot = 0.0000 μB/atom
Symmetry = C2/m
Energy of formation = -0.72 eV/atom

=====

2.
Below is a geometry-optimized BaU2HO5 structure, with properties calculated at the PBE level.

POSCAR file:
```
BaU2HO5
1.0
4.315 0.000 0.000
0.000 4.315 0.000
0.000 0.000 8.887
O Ba H U
5 1 1 2
Cartesian
0.000 2.157 6.438
0.000 2.157 2.449
2.157 0.000 6.438
0.000 0.000 4.444
2.157 0.000 2.449
2.157 2.157 4.444
0.000 0.000 0.000
0.000 0.000 6.666
0.000 0.000 2.221
```

Calculated values
Crystal system = tetragonal
E_tot = -77.11 eV/cell
M_tot = 0.3333 μB/atom
Symmetry = P4/mmm